12
Lattice="3.665 -6.344 0.000 3.665 6.344 0.000 -2.445 0.000 8.041" Properties=species:S:1:pos:R:3 comment="PBE Sm6HgRh2I3, relaxed" dft_energy_ev_per_cell=-57.96 formation_energy_uncorrected_ev_per_atom=-0.83 pbc="T T T"
Sm -0.104 2.286 6.497
Sm 1.022 0.000 1.531
Sm -0.104 -2.286 6.497
Sm 4.989 2.286 1.544
Sm 3.862 0.000 6.510
Sm 4.989 -2.286 1.544
Hg 3.665 0.000 0.000
Rh 3.665 4.224 0.000
Rh 3.665 -4.224 0.000
I -1.223 0.000 4.020
I 2.442 2.070 4.020
I 2.442 -2.070 4.020